[1]
VASP calculation (PBE+U) on a relaxed K2NiPbF6 crystal.

POSCAR file:
```
K2NiPbF6
1.0
-1.095 -4.281 4.138
6.266 -1.914 -0.322
2.061 5.668 6.409
K Ni Pb F
4 2 2 12
direct
0.500 0.798 0.224
0.000 0.202 0.724
0.500 0.798 0.776
0.000 0.202 0.276
0.500 0.216 0.500
0.000 0.784 0.000
0.000 0.711 0.500
0.500 0.289 0.000
0.500 0.211 0.269
0.500 0.211 0.731
0.000 0.789 0.231
0.000 0.789 0.769
0.266 0.990 0.500
0.734 0.990 0.500
0.255 0.426 0.500
0.745 0.426 0.500
0.755 0.574 0.000
0.245 0.574 0.000
0.234 0.010 0.000
0.766 0.010 0.000
```

Raw total energy   -88.92 eV/cell
Size of the total moment   0.200 μB/atom



[2]
VASP calculation (PBE+U) on a relaxed KNi2PdF8 crystal.

POSCAR file:
```
KNi2PdF8
1.0
5.048 0.090 0.013
0.148 4.977 0.026
-0.005 -0.020 6.563
K Ni Pd F
1 2 1 8
direct
0.000 0.000 0.500
0.500 0.500 0.753
0.500 0.500 0.247
0.000 0.000 0.000
0.168 0.749 0.205
0.651 0.715 0.000
0.831 0.250 0.205
0.832 0.251 0.795
0.349 0.285 0.000
0.169 0.750 0.795
0.624 0.698 0.500
0.376 0.302 0.500
```

Raw total energy   -49.15 eV/cell
Size of the total moment   0.417 μB/atom



[3]
VASP calculation (PBE+U) on a relaxed KNiPdF6 crystal.

POSCAR file:
```
KNiPdF6
1.0
-4.054 2.385 -2.655
-5.061 0.254 2.204
1.411 5.013 2.439
K Ni Pd F
1 1 1 6
direct
0.995 0.002 0.000
0.655 0.672 0.500
0.329 0.336 0.500
0.002 0.362 0.313
0.377 0.980 0.707
0.630 0.365 0.684
0.002 0.636 0.687
0.377 0.642 0.293
0.630 0.005 0.316
```

Raw total energy   -37.56 eV/cell
Size of the total moment   0.333 μB/atom